## YNi4 (PBE)

Data for crystalline YNi4 at its relaxed geometry.

Cell and atoms, written as POSCAR:
```
YNi4
1.0
5.387 -1.663 -0.761
-4.277 3.674 -0.761
0.919 1.663 5.363
Y Ni
1 4
Cartesian
0.000 0.000 0.000
-2.268 3.605 3.108
2.047 0.000 1.494
-0.018 3.674 2.347
4.297 0.069 0.733
```

Spin magnetization: 0.035 μB per atom
V: 16.79 Å³ per atom
ΔH_f (0 K): 16.0 kcal/mol of atoms
E: -26.12 eV for the cell shown

## Y2Ni7 (PBE)

Data for crystalline Y2Ni7 at its relaxed geometry.

Cell and atoms, written as POSCAR:
```
Y2Ni7
1.0
4.950 0.000 0.000
-2.475 4.287 0.000
0.000 0.000 24.144
Ni Y
28 8
Cartesian
0.000 0.000 12.072
2.475 2.855 2.071
0.000 1.431 18.108
2.475 2.855 10.001
3.710 0.716 2.071
-1.236 3.572 18.108
0.000 0.000 16.122
0.000 0.000 20.094
3.710 0.716 10.001
0.000 0.000 0.000
2.475 2.856 6.036
-1.235 3.571 22.073
0.000 0.000 4.050
2.475 1.429 8.029
0.000 0.000 8.022
1.240 0.716 2.071
1.236 3.572 18.108
0.000 1.432 22.073
1.239 0.715 6.036
1.240 0.716 10.001
0.000 1.432 14.143
0.000 2.858 16.115
2.475 1.429 4.043
-1.235 3.571 14.143
3.711 0.715 6.036
0.000 2.858 20.101
1.235 3.571 22.073
1.235 3.571 14.143
0.000 2.858 7.866
2.475 1.429 16.278
2.475 1.429 23.433
2.475 1.429 12.783
0.000 2.858 0.711
0.000 2.858 11.361
2.475 1.429 19.938
0.000 2.858 4.206
```

Spin magnetization: 0.153 μB per atom
Energy above the most stable polymorph in this dataset: 7 meV/atom
V: 14.23 Å³ per atom
ΔH_f (0 K): -8.6 kcal/mol of atoms
E: -227.05 eV for the cell shown